<1>
VASP calculation (GGA-PBE) on a relaxed Li3Bi2Pd2 crystal.

Cell and atoms, written as CIF:
```
data_Li3Bi2Pd2
_symmetry_space_group_name_H-M 'P -1'
_symmetry_Int_Tables_number 2
_symmetry_space_group_name_Hall '-P 1'
_cell_length_a 4.7172
_cell_length_b 4.7232
_cell_length_c 7.3341
_cell_angle_alpha 107.54
_cell_angle_beta 90.85
_cell_angle_gamma 119.85
loop_
_atom_site_label
_atom_site_type_symbol
_atom_site_fract_x
_atom_site_fract_y
_atom_site_fract_z
Li1 Li 0.0000 0.0000 0.0000
Li2 Li 0.1401 0.2827 0.4212
Bi1 Bi 0.4137 0.8351 0.2429
Pd1 Pd 0.2731 0.5346 0.8152
```

***

<2>
VASP calculation (GGA-PBE) on a relaxed Li3Bi2Pd2 crystal.

Cell and atoms, written as CIF:
```
data_Li3Bi2Pd2
_symmetry_space_group_name_H-M 'P 1 2/m 1'
_symmetry_Int_Tables_number 10
_symmetry_space_group_name_Hall '-P 2y'
_cell_length_a 4.4223
_cell_length_b 3.2761
_cell_length_c 10.0659
_cell_angle_alpha 90.00
_cell_angle_beta 101.45
_cell_angle_gamma 90.00
loop_
_atom_site_label
_atom_site_type_symbol
_atom_site_fract_x
_atom_site_fract_y
_atom_site_fract_z
Li1 Li 0.0000 0.0000 0.0000
Li2 Li 0.2772 0.0000 0.5611
Bi1 Bi 0.3906 0.5000 0.8125
Pd1 Pd 0.1542 0.0000 0.2849
```

***

Energy comparison, zero being the most stable, in meV per atom: <1> 0; <2> 214.

***

<1>
VASP calculation (GGA-PBE) on a relaxed Li5Bi2Pd5 crystal.

Cell and atoms, written as CIF:
```
data_Li5Bi2Pd5
_symmetry_space_group_name_H-M 'C 1 2/m 1'
_symmetry_Int_Tables_number 12
_symmetry_space_group_name_Hall '-C 2y'
_cell_length_a 13.1657
_cell_length_b 4.4522
_cell_length_c 7.9552
_cell_angle_alpha 90.00
_cell_angle_beta 123.29
_cell_angle_gamma 90.00
loop_
_atom_site_label
_atom_site_type_symbol
_atom_site_fract_x
_atom_site_fract_y
_atom_site_fract_z
Li1 Li 0.0000 0.0000 0.0000
Li2 Li 0.0946 0.0000 0.4005
Li3 Li 0.2460 0.0000 0.2709
Bi1 Bi 0.1534 0.0000 0.7919
Pd1 Pd 0.0000 0.5000 0.5000
Pd2 Pd 0.0848 0.5000 0.9280
Pd3 Pd 0.1682 0.5000 0.3370
```

***

<2>
VASP calculation (GGA-PBE) on a relaxed Li5Bi2Pd5 crystal.

Cell and atoms, written as CIF:
```
data_Li5Bi2Pd5
_symmetry_space_group_name_H-M 'C 1 2/m 1'
_symmetry_Int_Tables_number 12
_symmetry_space_group_name_Hall '-C 2y'
_cell_length_a 9.6029
_cell_length_b 4.5049
_cell_length_c 9.7901
_cell_angle_alpha 90.00
_cell_angle_beta 108.84
_cell_angle_gamma 90.00
loop_
_atom_site_label
_atom_site_type_symbol
_atom_site_fract_x
_atom_site_fract_y
_atom_site_fract_z
Li1 Li 0.0000 0.0000 0.0000
Li2 Li 0.1116 0.0000 0.7676
Li3 Li 0.1603 0.0000 0.4897
Bi1 Bi 0.0782 0.5000 0.2529
Pd1 Pd 0.0000 0.5000 0.5000
Pd2 Pd 0.1581 0.5000 0.9999
Pd3 Pd 0.2457 0.0000 0.2451
```

***

Energy comparison, zero being the most stable, in meV per atom: <1> 40; <2> 0.

***

<1>
VASP calculation (GGA-PBE) on a relaxed LiBiPdRh crystal.

Cell and atoms, written as CIF:
```
data_LiBiPdRh
_symmetry_space_group_name_H-M 'I -4 m 2'
_symmetry_Int_Tables_number 119
_symmetry_space_group_name_Hall 'I -4 -2'
_cell_length_a 4.2168
_cell_length_b 4.2168
_cell_length_c 7.4928
_cell_angle_alpha 90.00
_cell_angle_beta 90.00
_cell_angle_gamma 90.00
loop_
_atom_site_label
_atom_site_type_symbol
_atom_site_fract_x
_atom_site_fract_y
_atom_site_fract_z
Li1 Li 0.0000 0.0000 0.0000
Bi1 Bi 0.0000 0.0000 0.5000
Pd1 Pd 0.0000 0.5000 0.2500
Rh1 Rh 0.0000 0.5000 0.7500
```

***

<2>
VASP calculation (GGA-PBE) on a relaxed LiBiPdRh crystal.

Cell and atoms, written as CIF:
```
data_LiBiPdRh
_symmetry_space_group_name_H-M 'F -4 3 m'
_symmetry_Int_Tables_number 216
_symmetry_space_group_name_Hall 'F -4 2 3'
_cell_length_a 6.4412
_cell_length_b 6.4412
_cell_length_c 6.4412
_cell_angle_alpha 90.00
_cell_angle_beta 90.00
_cell_angle_gamma 90.00
loop_
_atom_site_label
_atom_site_type_symbol
_atom_site_fract_x
_atom_site_fract_y
_atom_site_fract_z
Li1 Li 0.0000 0.0000 0.0000
Bi1 Bi 0.0000 0.0000 0.5000
Pd1 Pd 0.2500 0.2500 0.2500
Rh1 Rh 0.2500 0.2500 0.7500
```

***

Energy comparison, zero being the most stable, in meV per atom: <1> 0; <2> 30.

***

<1>
VASP calculation (GGA-PBE) on a relaxed LiPmBi crystal.

Cell and atoms, written as CIF:
```
data_LiPmBi
_symmetry_space_group_name_H-M 'C 1 2/m 1'
_symmetry_Int_Tables_number 12
_symmetry_space_group_name_Hall '-C 2y'
_cell_length_a 10.9747
_cell_length_b 4.8886
_cell_length_c 6.6292
_cell_angle_alpha 90.00
_cell_angle_beta 101.43
_cell_angle_gamma 90.00
loop_
_atom_site_label
_atom_site_type_symbol
_atom_site_fract_x
_atom_site_fract_y
_atom_site_fract_z
Li1 Li 0.1056 0.0000 0.4049
Pm1 Pm 0.1288 0.5000 0.7548
Bi1 Bi 0.1705 0.5000 0.2480
```

***

<2>
VASP calculation (GGA-PBE) on a relaxed LiPmBi crystal.

Cell and atoms, written as CIF:
```
data_LiPmBi
_symmetry_space_group_name_H-M 'P -6 m 2'
_symmetry_Int_Tables_number 187
_symmetry_space_group_name_Hall 'P -6 2'
_cell_length_a 4.5902
_cell_length_b 4.5902
_cell_length_c 4.2810
_cell_angle_alpha 90.00
_cell_angle_beta 90.00
_cell_angle_gamma 120.00
loop_
_atom_site_label
_atom_site_type_symbol
_atom_site_fract_x
_atom_site_fract_y
_atom_site_fract_z
Li1 Li 0.0000 0.0000 0.0000
Pm1 Pm 0.6667 0.3333 0.5000
Bi1 Bi 0.3333 0.6667 0.0000
```

***

<3>
VASP calculation (GGA-PBE) on a relaxed LiPmBi crystal.

Cell and atoms, written as CIF:
```
data_LiPmBi
_symmetry_space_group_name_H-M 'F -4 3 m'
_symmetry_Int_Tables_number 216
_symmetry_space_group_name_Hall 'F -4 2 3'
_cell_length_a 7.2153
_cell_length_b 7.2153
_cell_length_c 7.2153
_cell_angle_alpha 90.00
_cell_angle_beta 90.00
_cell_angle_gamma 90.00
loop_
_atom_site_label
_atom_site_type_symbol
_atom_site_fract_x
_atom_site_fract_y
_atom_site_fract_z
Li1 Li 0.0000 0.0000 0.0000
Pm1 Pm 0.0000 0.0000 0.5000
Bi1 Bi 0.2500 0.2500 0.2500
```

***

Energy comparison, zero being the most stable, in meV per atom: <1> 99; <2> 0; <3> 187.

***

<1>
VASP calculation (GGA-PBE) on a relaxed LiPmBi crystal.

Cell and atoms, written as CIF:
```
data_LiPmBi
_symmetry_space_group_name_H-M 'P 1 21/m 1'
_symmetry_Int_Tables_number 11
_symmetry_space_group_name_Hall '-P 2yb'
_cell_length_a 7.5400
_cell_length_b 4.6781
_cell_length_c 13.2739
_cell_angle_alpha 90.00
_cell_angle_beta 90.40
_cell_angle_gamma 90.00
loop_
_atom_site_label
_atom_site_type_symbol
_atom_site_fract_x
_atom_site_fract_y
_atom_site_fract_z
Li1 Li 0.0074 0.2500 0.4023
Li2 Li 0.1849 0.2500 0.0501
Li3 Li 0.3482 0.7500 0.6952
Pm1 Pm 0.0031 0.2500 0.8161
Pm2 Pm 0.3396 0.7500 0.4281
Pm3 Pm 0.4970 0.7500 0.1312
Bi1 Bi 0.2169 0.2500 0.5983
Bi2 Bi 0.2244 0.7500 0.9382
Bi3 Bi 0.2815 0.2500 0.2574
```

***

<2>
VASP calculation (GGA-PBE) on a relaxed LiPmBi crystal.

Cell and atoms, written as CIF:
```
data_LiPmBi
_symmetry_space_group_name_H-M 'I 4 m m'
_symmetry_Int_Tables_number 107
_symmetry_space_group_name_Hall 'I 4 -2'
_cell_length_a 4.2935
_cell_length_b 4.2935
_cell_length_c 9.1200
_cell_angle_alpha 90.00
_cell_angle_beta 90.00
_cell_angle_gamma 90.00
loop_
_atom_site_label
_atom_site_type_symbol
_atom_site_fract_x
_atom_site_fract_y
_atom_site_fract_z
Li1 Li 0.0000 0.0000 0.0000
Pm1 Pm 0.0000 0.0000 0.3387
Bi1 Bi 0.0000 0.0000 0.6870
```

***

<3>
VASP calculation (GGA-PBE) on a relaxed LiPmBi crystal.

Cell and atoms, written as CIF:
```
data_LiPmBi
_symmetry_space_group_name_H-M 'I m m m'
_symmetry_Int_Tables_number 71
_symmetry_space_group_name_Hall '-I 2 2'
_cell_length_a 4.2750
_cell_length_b 4.9478
_cell_length_c 16.7388
_cell_angle_alpha 90.00
_cell_angle_beta 90.00
_cell_angle_gamma 90.00
loop_
_atom_site_label
_atom_site_type_symbol
_atom_site_fract_x
_atom_site_fract_y
_atom_site_fract_z
Li1 Li 0.0000 0.2488 0.0000
Pm1 Pm 0.0000 0.0000 0.3423
Bi1 Bi 0.0000 0.0000 0.1523
```

***

Energy comparison, zero being the most stable, in meV per atom: <1> 0; <2> 292; <3> 168.

***

<1>
VASP calculation (GGA-PBE) on a relaxed LiPm2Bi crystal.

Cell and atoms, written as CIF:
```
data_LiPm2Bi
_symmetry_space_group_name_H-M 'F m -3 m'
_symmetry_Int_Tables_number 225
_symmetry_space_group_name_Hall '-F 4 2 3'
_cell_length_a 7.6596
_cell_length_b 7.6596
_cell_length_c 7.6596
_cell_angle_alpha 90.00
_cell_angle_beta 90.00
_cell_angle_gamma 90.00
loop_
_atom_site_label
_atom_site_type_symbol
_atom_site_fract_x
_atom_site_fract_y
_atom_site_fract_z
Li1 Li 0.0000 0.0000 0.0000
Pm1 Pm 0.2500 0.2500 0.2500
Bi1 Bi 0.0000 0.0000 0.5000
```

***

<2>
VASP calculation (GGA-PBE) on a relaxed LiPm2Bi crystal.

Cell and atoms, written as CIF:
```
data_LiPm2Bi
_symmetry_space_group_name_H-M 'P 4/m m m'
_symmetry_Int_Tables_number 123
_symmetry_space_group_name_Hall '-P 4 2'
_cell_length_a 4.1618
_cell_length_b 4.1618
_cell_length_c 6.7079
_cell_angle_alpha 90.00
_cell_angle_beta 90.00
_cell_angle_gamma 90.00
loop_
_atom_site_label
_atom_site_type_symbol
_atom_site_fract_x
_atom_site_fract_y
_atom_site_fract_z
Li1 Li 0.0000 0.0000 0.0000
Pm1 Pm 0.5000 0.5000 0.2534
Bi1 Bi 0.0000 0.0000 0.5000
```

***

<3>
VASP calculation (GGA-PBE) on a relaxed LiPm2Bi crystal.

Cell and atoms, written as CIF:
```
data_LiPm2Bi
_symmetry_space_group_name_H-M 'I m m a'
_symmetry_Int_Tables_number 74
_symmetry_space_group_name_Hall '-I 2b 2'
_cell_length_a 6.9899
_cell_length_b 8.7618
_cell_length_c 7.3713
_cell_angle_alpha 90.00
_cell_angle_beta 90.00
_cell_angle_gamma 90.00
loop_
_atom_site_label
_atom_site_type_symbol
_atom_site_fract_x
_atom_site_fract_y
_atom_site_fract_z
Li1 Li 0.0000 0.2500 0.0434
Pm1 Pm 0.2500 0.0243 0.7500
Bi1 Bi 0.0000 0.2500 0.4599
```

***

Energy comparison, zero being the most stable, in meV per atom: <1> 56; <2> 75; <3> 0.

***

<1>
VASP calculation (GGA-PBE) on a relaxed LiPmBi2 crystal.

Cell and atoms, written as CIF:
```
data_LiPmBi2
_symmetry_space_group_name_H-M 'P 4/n m m'
_symmetry_Int_Tables_number 129
_cell_length_a 4.5515
_cell_length_b 4.5515
_cell_length_c 10.5588
_cell_angle_alpha 90.00
_cell_angle_beta 90.00
_cell_angle_gamma 90.00
loop_
_symmetry_equiv_pos_as_xyz
'x,y,z'
'-x,-y,-z'
'-y+1/2,x,z'
'y+1/2,-x,-z'
'-x+1/2,-y+1/2,z'
'x+1/2,y+1/2,-z'
'y,-x+1/2,z'
'-y,x+1/2,-z'
'x+1/2,-y,-z'
'-x+1/2,y,z'
'-y,-x,-z'
'y,x,z'
'-x,y+1/2,-z'
'x,-y+1/2,z'
'y+1/2,x+1/2,-z'
'-y+1/2,-x+1/2,z'
loop_
_atom_site_label
_atom_site_type_symbol
_atom_site_fract_x
_atom_site_fract_y
_atom_site_fract_z
Li1 Li 0.2500 0.7500 0.0000
Pm1 Pm 0.2500 0.2500 0.2577
Bi1 Bi 0.2500 0.2500 0.8344
Bi2 Bi 0.2500 0.7500 0.5000
```

***

<2>
VASP calculation (GGA-PBE) on a relaxed LiPmBi2 crystal.

Cell and atoms, written as CIF:
```
data_LiPmBi2
_symmetry_space_group_name_H-M 'F m -3 m'
_symmetry_Int_Tables_number 225
_symmetry_space_group_name_Hall '-F 4 2 3'
_cell_length_a 7.7185
_cell_length_b 7.7185
_cell_length_c 7.7185
_cell_angle_alpha 90.00
_cell_angle_beta 90.00
_cell_angle_gamma 90.00
loop_
_atom_site_label
_atom_site_type_symbol
_atom_site_fract_x
_atom_site_fract_y
_atom_site_fract_z
Li1 Li 0.0000 0.0000 0.0000
Pm1 Pm 0.0000 0.0000 0.5000
Bi1 Bi 0.2500 0.2500 0.2500
```

***

Energy comparison, zero being the most stable, in meV per atom: <1> 0; <2> 201.

***

<1>
VASP calculation (GGA-PBE) on a relaxed LiPmBi2 crystal.

Cell and atoms, written as CIF:
```
data_LiPmBi2
_symmetry_space_group_name_H-M 'P 4/m m m'
_symmetry_Int_Tables_number 123
_symmetry_space_group_name_Hall '-P 4 2'
_cell_length_a 5.0679
_cell_length_b 5.0679
_cell_length_c 4.3597
_cell_angle_alpha 90.00
_cell_angle_beta 90.00
_cell_angle_gamma 90.00
loop_
_atom_site_label
_atom_site_type_symbol
_atom_site_fract_x
_atom_site_fract_y
_atom_site_fract_z
Li1 Li 0.0000 0.0000 0.0000
Pm1 Pm 0.5000 0.5000 0.0000
Bi1 Bi 0.0000 0.5000 0.5000
```

***

<2>
VASP calculation (GGA-PBE) on a relaxed LiPmBi2 crystal.

Cell and atoms, written as CIF:
```
data_LiPmBi2
_symmetry_space_group_name_H-M 'P 4/m m m'
_symmetry_Int_Tables_number 123
_symmetry_space_group_name_Hall '-P 4 2'
_cell_length_a 4.0917
_cell_length_b 4.0917
_cell_length_c 6.8404
_cell_angle_alpha 90.00
_cell_angle_beta 90.00
_cell_angle_gamma 90.00
loop_
_atom_site_label
_atom_site_type_symbol
_atom_site_fract_x
_atom_site_fract_y
_atom_site_fract_z
Li1 Li 0.0000 0.0000 0.0000
Pm1 Pm 0.0000 0.0000 0.5000
Bi1 Bi 0.5000 0.5000 0.2427
```

***

Energy comparison, zero being the most stable, in meV per atom: <1> 0; <2> 55.